# 1
# MgNbAg

A relaxed structure of MgNbAg (PBE, the Alexandria database).

Its space group is Pm. For the formation energy, the calculation gives 144 meV per atom. The value obtained for the total energy is -4.6947 eV per atom. As for the density of states at the Fermi level: 0.73 states/eV/atom. As for the distance to the lowest polymorph of the same formula: 0.089 eV/atom.

abc: 4.793 2.854 8.169
angles: 83.14 90.00 90.00
Atoms (fractional coordinates):
Mg: 0.641 0.841 0.565
Mg: 0.141 0.676 0.776
Nb: 0.141 0.313 0.420
Nb: 0.641 0.582 0.233
Ag: 0.141 0.056 0.089
Ag: 0.641 0.174 0.893

=====

# 2
# Sr2TlZn2

A relaxed structure of Sr2TlZn2 (PBE, the Alexandria database).

Its space group is C2/c. For the formation energy, the calculation gives -272 meV per atom. The value obtained for the total energy is -1.9273 eV per atom. As for the density of states at the Fermi level: 0.60 states/eV/atom.

abc: 6.250 6.200 8.801
angles: 101.22 90.00 120.27
Atoms (fractional coordinates):
Sr: 0.503 0.294 0.147
Sr: 0.209 0.706 0.353
Sr: 0.497 0.706 0.853
Sr: 0.791 0.294 0.647
Tl: 0.854 0.000 0.250
Tl: 0.146 0.000 0.750
Zn: 0.709 0.710 0.503
Zn: 0.999 0.290 0.997
Zn: 0.291 0.290 0.497
Zn: 0.001 0.710 0.003

=====

Please write out number 2 again, unchanged.
# Sr2TlZn2

A relaxed structure of Sr2TlZn2 (PBE, the Alexandria database).

Its space group is C2/c. For the formation energy, the calculation gives -272 meV per atom. The value obtained for the total energy is -1.9273 eV per atom. As for the density of states at the Fermi level: 0.60 states/eV/atom.

abc: 6.250 6.200 8.801
angles: 101.22 90.00 120.27
Atoms (fractional coordinates):
Sr: 0.503 0.294 0.147
Sr: 0.209 0.706 0.353
Sr: 0.497 0.706 0.853
Sr: 0.791 0.294 0.647
Tl: 0.854 0.000 0.250
Tl: 0.146 0.000 0.750
Zn: 0.709 0.710 0.503
Zn: 0.999 0.290 0.997
Zn: 0.291 0.290 0.497
Zn: 0.001 0.710 0.003

=====

What is the formula in the second record? Sr2TlZn2

=====

Repeat the second record exactly.
# Sr2TlZn2

A relaxed structure of Sr2TlZn2 (PBE, the Alexandria database).

Its space group is C2/c. For the formation energy, the calculation gives -272 meV per atom. The value obtained for the total energy is -1.9273 eV per atom. As for the density of states at the Fermi level: 0.60 states/eV/atom.

abc: 6.250 6.200 8.801
angles: 101.22 90.00 120.27
Atoms (fractional coordinates):
Sr: 0.503 0.294 0.147
Sr: 0.209 0.706 0.353
Sr: 0.497 0.706 0.853
Sr: 0.791 0.294 0.647
Tl: 0.854 0.000 0.250
Tl: 0.146 0.000 0.750
Zn: 0.709 0.710 0.503
Zn: 0.999 0.290 0.997
Zn: 0.291 0.290 0.497
Zn: 0.001 0.710 0.003